Record 1
NbAuSe: relaxed, PBE-GGA.

Values from the calculation:
* raw total energy: -35.524 eV per cell
* total moment: 0.000 μB/f.u.

Cell: 3.3113 5.9989 6.8422 Å, 108.98 90.03 90.01°
Element x y z (fractional)
1 Nb 0.7499 0.7920 0.4960
2 Nb 0.2501 0.2080 0.5040
3 Se 0.2496 0.8113 0.2080
4 Se 0.7504 0.1887 0.7920
5 Au 0.7498 0.3271 0.2182
6 Au 0.2502 0.6729 0.7818

---

Record 2
Nb2AuSe: relaxed, PBE-GGA.

Values from the calculation:
* raw total energy: -49.279 eV per cell
* total moment: 0.000 μB/f.u.

Cell: 5.8762 5.8762 7.2142 Å, 65.97 65.97 90.00°
Element x y z (fractional)
1 Nb 0.1291 0.6250 0.2500
2 Nb 0.3750 0.3791 0.7500
3 Nb 0.8750 0.8709 0.7500
4 Nb 0.6209 0.1250 0.2500
5 Au 0.0000 0.0000 0.0000
6 Au 0.7500 0.2500 0.5000
7 Se 0.2500 0.7500 0.5000
8 Se 0.5000 0.5000 0.0000

---

Record 3
Nb2Au2Se: relaxed, PBE-GGA.

Values from the calculation:
* energy relative to the lowest polymorph listed for this composition: 0.0 meV/atom
* raw total energy: -28.678 eV per cell
* total moment: 0.000 μB/f.u.

Cell: 3.8035 3.8035 7.5283 Å, 75.37 75.37 90.00°
Element x y z (fractional)
1 Au 0.5995 0.5995 0.8009
2 Au 0.4005 0.4005 0.1991
3 Nb 0.2500 0.7500 0.5000
4 Nb 0.7500 0.2500 0.5000
5 Se 0.0000 0.0000 0.0000